The following is a GGA-PBE calculation of Tb3CuC after structural relaxation, from Alexandria.

```
Tb3CuC
1.0
-1.343 -3.411 3.215
3.231 1.749 3.205
-3.396 3.013 1.779
C Tb Cu
1 3 1
Direct
0.000 0.000 0.000
0.000 0.500 0.000
0.000 0.000 0.500
0.500 0.000 0.000
0.500 0.500 0.500
```

Uncorrected energy ... -0.202 Ha/atom
Crystal system ... cubic


The following is a GGA-PBE calculation of ZrCrCl3 after structural relaxation, from Alexandria.

```
ZrCrCl3
1.0
-0.482 3.555 -3.585
-4.453 1.397 1.984
2.378 3.336 2.989
Cr Zr Cl
1 1 3
Direct
0.500 0.500 0.500
0.000 0.000 0.000
0.000 0.500 0.000
0.000 0.000 0.500
0.500 0.000 0.000
```

Uncorrected energy ... -0.193 Ha/atom
Crystal system ... cubic


The following is a GGA-PBE calculation of CuNiSn3 after structural relaxation, from Alexandria.

```
CuNiSn3
1.0
6.293 0.581 -0.256
-1.163 6.212 0.256
-2.977 -3.086 5.367
Cu Ni Sn
2 2 6
Direct
0.675 0.048 0.724
0.325 0.952 0.276
0.644 0.730 0.374
0.356 0.270 0.626
0.858 0.989 0.243
0.254 0.384 0.243
0.746 0.616 0.757
0.732 0.395 0.126
0.142 0.011 0.757
0.268 0.605 0.874
```

Uncorrected energy ... -0.159 Ha/atom
Crystal system ... monoclinic


Number 1: Fermi-level density of states 6.19 states/eV/cell, excess energy over the best structure of this formula in the dataset 0.61 eV per formula unit. Number 2: Fermi-level density of states 3.90 states/eV/cell, excess energy over the best structure of this formula in the dataset 0.00 eV per formula unit. Number 3: Fermi-level density of states 4.26 states/eV/cell, excess energy over the best structure of this formula in the dataset 0.26 eV per formula unit.